1.
Material: CePm2Dy3Y6
Method: DFT, PBE
State: optimized geometry

Unit cell a=6.206 b=10.746 c=11.825 alpha=90.00 beta=100.06 gamma=90.00
Space group C2/m (No. 12)
Inequivalent atoms, fractional coordinates:
Ce 0.000 0.000 0.000
Pm 0.000 0.333 0.000
Dy 0.000 0.167 0.500
Dy 0.000 0.500 0.500
Y 0.247 0.000 0.748
Y 0.249 0.165 0.251

Computed properties:
**ΔE_f**: 0.039 eV/atom
**Calculated total energy**: -135.12 eV per cell

***

2.
Material: CePm6Dy2Y
Method: DFT, PBE
State: optimized geometry

Unit cell a=11.458 b=7.130 c=9.993 alpha=90.00 beta=123.81 gamma=90.00
Space group C2/m (No. 12)
Inequivalent atoms, fractional coordinates:
Ce 0.000 0.000 0.000
Pm 0.117 0.282 0.806
Pm 0.214 0.500 0.553
Dy 0.146 0.500 0.171
Y 0.000 0.000 0.500

Computed properties:
**ΔE_f**: 0.240 eV/atom
**Calculated total energy**: -95.41 eV per cell

***

3.
Material: CePm2DyY5
Method: DFT, PBE
State: optimized geometry

Unit cell a=8.623 b=8.623 c=15.695 alpha=90.00 beta=90.00 gamma=90.00
Space group I4/mcm (No. 140)
Inequivalent atoms, fractional coordinates:
Ce 0.000 0.500 0.250
Pm 0.120 0.380 0.000
Dy 0.000 0.000 0.250
Y 0.000 0.000 0.000
Y 0.202 0.298 0.360

Computed properties:
**ΔE_f**: 0.261 eV/atom
**Calculated total energy**: -200.05 eV per cell

***

4.
Material: CePmDyZn
Method: DFT, PBE
State: optimized geometry

Unit cell a=7.583 b=7.583 c=7.583 alpha=90.00 beta=90.00 gamma=90.00
Space group F-43m (No. 216)
Inequivalent atoms, fractional coordinates:
Ce 0.000 0.000 0.000
Pm 0.250 0.250 0.250
Dy 0.000 0.000 0.500
Zn 0.250 0.250 0.750

Computed properties:
**ΔE_f**: 0.096 eV/atom
**Calculated total energy**: -64.71 eV per cell

***

5.
Material: CePmDyZr
Method: DFT, PBE
State: optimized geometry

Unit cell a=7.741 b=7.741 c=7.741 alpha=90.00 beta=90.00 gamma=90.00
Space group F-43m (No. 216)
Inequivalent atoms, fractional coordinates:
Ce 0.000 0.000 0.000
Pm 0.000 0.000 0.500
Dy 0.250 0.250 0.250
Zr 0.250 0.250 0.750

Computed properties:
**ΔE_f**: 0.233 eV/atom
**Calculated total energy**: -91.62 eV per cell

***

6.
Material: CePr8Dy3
Method: DFT, PBE
State: optimized geometry

Unit cell a=8.785 b=8.785 c=11.642 alpha=90.00 beta=90.00 gamma=90.00
Space group I-42m (No. 121)
Inequivalent atoms, fractional coordinates:
Ce 0.000 0.000 0.000
Pr 0.122 0.122 0.758
Pr 0.238 0.238 0.017
Dy 0.000 0.000 0.500
Dy 0.000 0.500 0.250

Computed properties:
**ΔE_f**: 0.533 eV/atom
**Calculated total energy**: -103.16 eV per cell

***

7.
Material: CePr7Dy4
Method: DFT, PBE
State: optimized geometry

Unit cell a=6.105 b=7.078 c=10.199 alpha=110.21 beta=90.67 gamma=90.00
Space group P-1 (No. 2)
Inequivalent atoms, fractional coordinates:
Ce 0.000 0.000 0.000
Pr 0.242 0.813 0.628
Pr 0.247 0.463 0.927
Pr 0.267 0.287 0.575
Pr 0.500 0.000 0.000
Dy 0.241 0.871 0.271
Dy 0.242 0.401 0.271

Computed properties:
**ΔE_f**: 0.141 eV/atom
**Calculated total energy**: -56.11 eV per cell

***

8.
Material: CePr2Dy6
Method: DFT, PBE
State: optimized geometry

Unit cell a=9.8034 b=9.8034 c=3.5359 alpha=90.00 beta=90.00 gamma=120.00
Space group P-3 (No. 147)
Inequivalent atoms, fractional coordinates:
Ce 0.0000 0.0000 0.0000
Pr 0.3333 0.6667 0.7636
Dy 0.0209 0.6733 0.2694

Computed properties:
**ΔE_f**: 0.102 eV/atom
**Calculated total energy**: -42.19 eV per cell

***

9.
Material: CePr5Dy
Method: DFT, PBE
State: optimized geometry

Unit cell a=6.388 b=6.687 c=6.702 alpha=118.40 beta=95.09 gamma=95.48
Space group P-1 (No. 2)
Inequivalent atoms, fractional coordinates:
Ce 0.000 0.000 0.000
Pr 0.000 0.000 0.500
Pr 0.265 0.575 0.577
Pr 0.498 0.814 0.179
Dy 0.000 0.500 0.000

Computed properties:
**ΔE_f**: 0.190 eV/atom
**Calculated total energy**: -33.11 eV per cell

***

10.
Material: CePr2Dy3
Method: DFT, PBE
State: optimized geometry

Unit cell a=18.151 b=3.472 c=14.365 alpha=90.00 beta=118.96 gamma=90.00
Space group C2/m (No. 12)
Inequivalent atoms, fractional coordinates:
Ce 0.051 0.000 0.109
Pr 0.153 0.000 0.960
Pr 0.175 0.500 0.375
Dy 0.041 0.500 0.706
Dy 0.101 0.000 0.530
Dy 0.242 0.000 0.794

Computed properties:
**ΔE_f**: 0.152 eV/atom
**Calculated total energy**: -113.55 eV per cell

***

11.
Material: Ce2PrDy
Method: DFT, PBE
State: optimized geometry

Unit cell a=4.939 b=4.939 c=5.143 alpha=90.00 beta=90.00 gamma=90.00
Space group P4/mmm (No. 123)
Inequivalent atoms, fractional coordinates:
Ce 0.000 0.500 0.000
Pr 0.000 0.000 0.500
Dy 0.500 0.500 0.500

Computed properties:
**ΔE_f**: 0.115 eV/atom
**Calculated total energy**: -20.79 eV per cell
**ΔE to the lowest computed polymorph**: 0.007 eV per atom

***

12.
Material: CePr6Dy3
Method: DFT, PBE
State: optimized geometry

Unit cell a=5.740 b=10.125 c=12.374 alpha=90.00 beta=101.94 gamma=90.00
Space group P2_1/c (No. 14)
Inequivalent atoms, fractional coordinates:
Ce 0.000 0.000 0.000
Pr 0.004 0.187 0.501
Pr 0.111 0.001 0.263
Pr 0.420 0.169 0.852
Dy 0.418 0.666 0.365
Dy 0.500 0.000 0.500

Computed properties:
**ΔE_f**: 0.215 eV/atom
**Calculated total energy**: -92.53 eV per cell

***

13.
Material: CePr2Dy8
Method: DFT, PBE
State: optimized geometry

Unit cell a=18.217 b=5.057 c=7.992 alpha=90.00 beta=105.23 gamma=90.00
Space group C2/m (No. 12)
Inequivalent atoms, fractional coordinates:
Ce 0.000 0.000 0.000
Pr 0.228 0.500 0.638
Dy 0.044 0.500 0.731
Dy 0.089 0.000 0.452
Dy 0.134 0.500 0.176
Dy 0.179 0.000 0.907

Computed properties:
**ΔE_f**: 0.041 eV/atom
**Calculated total energy**: -103.71 eV per cell

***

14.
Material: CePr6Dy
Method: DFT, PBE
State: optimized geometry

Unit cell a=7.360 b=10.340 c=14.710 alpha=90.00 beta=90.00 gamma=90.00
Space group Fmmm (No. 69)
Inequivalent atoms, fractional coordinates:
Ce 0.000 0.000 0.000
Pr 0.000 0.000 0.248
Pr 0.250 0.250 0.121
Dy 0.000 0.000 0.500

Computed properties:
**ΔE_f**: 0.049 eV/atom
**Calculated total energy**: -155.27 eV per cell

***

15.
Material: CePr10Dy4
Method: DFT, PBE
State: optimized geometry

Unit cell a=9.924 b=9.924 c=10.782 alpha=90.00 beta=90.00 gamma=90.00
Space group I4/m (No. 87)
Inequivalent atoms, fractional coordinates:
Ce 0.000 0.000 0.000
Pr 0.000 0.500 0.250
Pr 0.116 0.788 0.344
Dy 0.058 0.669 0.000

Computed properties:
**ΔE_f**: 0.314 eV/atom
**Calculated total energy**: -134.85 eV per cell

***

16.
Material: Ce2PrDy
Method: DFT, PBE
State: optimized geometry

Unit cell a=8.069 b=8.069 c=8.069 alpha=90.00 beta=90.00 gamma=90.00
Space group Fm-3m (No. 225)
Inequivalent atoms, fractional coordinates:
Ce 0.250 0.250 0.250
Pr 0.000 0.000 0.000
Dy 0.000 0.000 0.500

Computed properties:
**ΔE_f**: 0.273 eV/atom
**Calculated total energy**: -80.63 eV per cell
**ΔE to the lowest computed polymorph**: 0.165 eV per atom

***

17.
Material: CePr2Dy
Method: DFT, PBE
State: optimized geometry

Unit cell a=8.183 b=8.183 c=8.183 alpha=90.00 beta=90.00 gamma=90.00
Space group Fm-3m (No. 225)
Inequivalent atoms, fractional coordinates:
Ce 0.000 0.000 0.000
Pr 0.250 0.250 0.250
Dy 0.000 0.000 0.500

Computed properties:
**ΔE_f**: 0.200 eV/atom
**Calculated total energy**: -77.18 eV per cell
**ΔE to the lowest computed polymorph**: 0.129 eV per atom

***

18.
Material: CePrDy6
Method: DFT, PBE
State: optimized geometry

Unit cell a=13.492 b=6.511 c=6.597 alpha=90.00 beta=117.84 gamma=90.00
Space group C2/m (No. 12)
Inequivalent atoms, fractional coordinates:
Ce 0.000 0.000 0.000
Pr 0.000 0.500 0.000
Dy 0.000 0.248 0.500
Dy 0.231 0.000 0.911
Dy 0.240 0.500 0.561

Computed properties:
**ΔE_f**: 0.211 eV/atom
**Calculated total energy**: -73.27 eV per cell
**ΔE to the lowest computed polymorph**: 0.167 eV per atom

***

19.
Material: CePr12Dy2
Method: DFT, PBE
State: optimized geometry

Unit cell a=7.242 b=11.735 c=25.218 alpha=90.00 beta=90.00 gamma=90.00
Space group Cmme (No. 67)
Inequivalent atoms, fractional coordinates:
Ce 0.000 0.250 0.001
Pr 0.000 0.003 0.928
Pr 0.000 0.024 0.440
Pr 0.230 0.250 0.585
Pr 0.248 0.250 0.129
Pr 0.250 0.000 0.198
Pr 0.250 0.000 0.324
Dy 0.000 0.250 0.270
Dy 0.000 0.250 0.733

Computed properties:
**ΔE_f**: 0.168 eV/atom
**Calculated total energy**: -279.91 eV per cell

***

20.
Material: CePr3Dy4
Method: DFT, PBE
State: optimized geometry

Unit cell a=3.446 b=11.711 c=13.186 alpha=90.00 beta=90.00 gamma=90.00
Space group Immm (No. 71)
Inequivalent atoms, fractional coordinates:
Ce 0.000 0.000 0.000
Pr 0.000 0.000 0.500
Pr 0.000 0.500 0.264
Dy 0.000 0.249 0.133

Computed properties:
**ΔE_f**: 0.149 eV/atom
**Calculated total energy**: -74.97 eV per cell

***

21.
Material: CePrDy14
Method: DFT, PBE
State: optimized geometry

Unit cell a=7.109 b=7.109 c=10.047 alpha=90.00 beta=90.00 gamma=90.00
Space group P4/mmm (No. 123)
Inequivalent atoms, fractional coordinates:
Ce 0.000 0.000 0.000
Pr 0.500 0.500 0.000
Dy 0.000 0.000 0.500
Dy 0.000 0.500 0.000
Dy 0.000 0.500 0.500
Dy 0.248 0.248 0.251
Dy 0.500 0.500 0.500

Computed properties:
**ΔE_f**: 0.031 eV/atom
**Calculated total energy**: -74.64 eV per cell

***

22.
Material: CePrDy2
Method: DFT, PBE
State: optimized geometry

Unit cell a=3.4713 b=3.4713 c=36.9581 alpha=90.00 beta=90.00 gamma=120.00
Space group R-3m (No. 166, hexagonal axes)
Inequivalent atoms, fractional coordinates:
Ce 0.0000 0.0000 0.0000
Pr 0.0000 0.0000 0.5000
Dy 0.0000 0.0000 0.4080

Computed properties:
**ΔE_f**: 0.169 eV/atom
**Calculated total energy**: -57.73 eV per cell
**ΔE to the lowest computed polymorph**: 0.108 eV per atom